K2TlGeBr5, relaxed, DFT GGA-PBE; electronic total energy = -27.738 eV per formula unit; DOS(E_F) = 0.000 states/eV per atom; crystal system = orthorhombic; formation energy from raw total energies = -1133 meV/atom; total magnetic moment = 0.00 μB/f.u.
1.0
2.4009 -9.9878 0.0000
2.4009 9.9878 0.0000
0.0000 0.0000 13.6880
K Tl Ge Br
4 2 2 10
Direct
0.1080 0.8920 0.5000 K
0.1375 0.8625 0.1304 K
0.8625 0.1375 0.6304 K
0.8920 0.1080 0.0000 K
0.2171 0.7829 0.8454 Tl
0.7829 0.2171 0.3454 Tl
0.4702 0.5298 0.2626 Ge
0.5298 0.4702 0.7626 Ge
0.0463 0.9537 0.8630 Br
0.2773 0.7227 0.5073 Br
0.3469 0.6531 0.1875 Br
0.3800 0.6200 0.8189 Br
0.4849 0.5151 0.5816 Br
0.5151 0.4849 0.0816 Br
0.6200 0.3800 0.3189 Br
0.6531 0.3469 0.6875 Br
0.7227 0.2773 0.0073 Br
0.9537 0.0463 0.3630 Br